Here is ZrRe2Pt at its PBEsol-relaxed geometry from the Alexandria database. Energies are from meta-GGA SCAN.

a = 3.914 Å, b = 4.192 Å, c = 4.829 Å
α = 115.72°, β = 113.90°, γ = 90.00°
Fractional coordinates of all 4 atoms:
Re  0.259  0.759  0.517
Re  0.989  0.989  0.978
Pt  0.747  0.247  0.494
Zr  0.505  0.505  0.011

Output
- Offset from the most stable computed form: 0.000 eV/atom
- Total magnetization: 0.00 μB per formula unit
- Density: 17.16 g/cm³
- Space group: Imm2, No. 44